Below is a relaxed structure of TaMn2HOs, with properties calculated at the GGA-PBE level.

The space group is P4/mmm (No. 123) and the conventional cell measures 3.7400, 3.7400 and 4.1543 Å, with angles of 90.00, 90.00 and 90.00 degrees. Symmetry generates all atoms from Ta at (0.0000, 0.0000, 0.0000), Mn at (0.0000, 0.5000, 0.5000), H at (0.0000, 0.0000, 0.5000) and Os at (0.5000, 0.5000, 0.0000).

For the raw total energy, the calculation gives -9.007 eV/atom. For the total magnetization, the calculation gives 3.90 μB/cell. The value obtained for the calculated volume is 58.1 Å³/cell.